Record 1
Ag3W2: PBEsol geometry, meta-GGA SCAN.

## Properties
The calculation puts the density of states at the Fermi level at 0.592 states/eV/atom. The symmetry is R-3m (166). The formation energy is 586 meV/atom. As for the total moment: 0.0 μB/f.u.

```
5
Lattice="1.384 0.799 12.064 -1.384 0.799 12.064 0.000 -1.599 12.064" Properties=species:S:1:pos:R:3 pbc="T T T"
Ag 0.000 0.000 0.000
Ag 0.000 0.000 7.240
Ag 0.000 0.000 28.951
W 0.000 0.000 14.475
W 0.000 0.000 21.717
```

---

Record 2
KSc2GeIr: PBEsol geometry, meta-GGA SCAN.

## Properties
The calculation puts the density of states at the Fermi level at 0.701 states/eV/atom. The symmetry is P4/mmm (123). The formation energy is 230 meV/atom. As for the total moment: 1.0 μB/f.u.

```
5
Lattice="4.954 0.000 0.000 0.000 4.954 0.000 0.000 0.000 5.633" Properties=species:S:1:pos:R:3 pbc="T T T"
K 0.000 0.000 0.000
Sc 0.000 2.477 2.817
Sc 2.477 0.000 2.817
Ge 2.477 2.477 0.000
Ir 0.000 0.000 2.817
```

---

Record 3
Li2Mn3F8: PBEsol geometry, meta-GGA SCAN.

## Properties
The calculation puts the density of states at the Fermi level at 0.000 states/eV/atom. The symmetry is P-1 (2). The energy above the lowest structure with this stoichiometry is 0.00 eV per formula unit. As for the total moment: 15.0 μB/f.u. Its uncorrected formation energy is -2.947 eV/atom.

```
13
Lattice="5.291 0.000 0.000 -2.565 5.103 0.000 -0.038 -2.049 5.555" Properties=species:S:1:pos:R:3 pbc="T T T"
Li 0.013 -0.103 1.363
Li 2.675 3.156 4.191
Mn -0.020 0.992 4.728
Mn 2.626 -1.025 2.777
Mn 2.708 2.061 0.827
F -1.844 1.807 5.344
F -1.742 3.016 2.479
F 1.610 -0.439 4.571
F 1.748 0.534 1.755
F 0.940 2.519 3.800
F 1.078 3.492 0.984
F 4.429 0.037 3.076
F 4.531 1.246 0.210
```

---

Record 4
TlOsPb2: PBEsol geometry, meta-GGA SCAN.

## Properties
The calculation puts the density of states at the Fermi level at 0.735 states/eV/atom. The symmetry is I4/mmm (139). The energy above the lowest structure with this stoichiometry is 1.05 eV per formula unit. The formation energy is 927 meV/atom. As for the total moment: 0.0 μB/f.u.

```
4
Lattice="-2.719 2.719 3.052 2.719 -2.719 3.052 2.719 2.719 -3.052" Properties=species:S:1:pos:R:3 pbc="T T T"
Tl 0.000 0.000 0.000
Os 0.000 0.000 3.052
Pb 2.719 0.000 1.526
Pb 0.000 2.719 1.526
```

---

What is the formula in the fourth record?
TlOsPb2

---

Look up the density of states at the Fermi level of the third one.
0.000 states/eV/atom